## RbNaCa2Rh (PBE-GGA)

Data for a relaxed structure of RbNaCa2Rh.

- DFT formation energy: 0.3 eV per formula unit
- Raw total energy: -13.3 eV per formula unit
- Crystal system: tetragonal

The structure in CIF format:
```
data_RbNaCa2Rh
_chemical_formula_sum 'Rb1 Na1 Ca2 Rh1'
_cell_length_a 5.522
_cell_length_b 5.522
_cell_length_c 6.608
_cell_angle_alpha 90.00
_cell_angle_beta 90.00
_cell_angle_gamma 90.00
_space_group_name_H-M_alt 'P 4/m m m'
_space_group_IT_number 123
_space_group_name_Hall '-P 4 2'
loop_
_atom_site_label
_atom_site_fract_x
_atom_site_fract_y
_atom_site_fract_z
_atom_site_occupancy
Rb1 0.000 0.000 0.000 1
Na1 0.500 0.500 0.000 1
Ca1 0.000 0.500 0.500 1
Rh1 0.000 0.000 0.500 1
```

---

## AgHgW (PBE-GGA)

Data for a relaxed structure of AgHgW.

- DFT formation energy: 1.8 eV per formula unit
- Raw total energy: -14.3 eV per formula unit
- Crystal system: trigonal

The structure in CIF format:
```
data_AgHgW
_chemical_formula_sum 'Ag1 Hg1 W1'
_cell_length_a 2.9010
_cell_length_b 2.9010
_cell_length_c 7.4506
_cell_angle_alpha 90.00
_cell_angle_beta 90.00
_cell_angle_gamma 120.00
_space_group_name_H-M_alt 'P 3 m 1'
_space_group_IT_number 156
_space_group_name_Hall 'P 3 -2"'
loop_
_atom_site_label
_atom_site_fract_x
_atom_site_fract_y
_atom_site_fract_z
_atom_site_occupancy
Ag1 0.0000 0.0000 0.0000 1
Hg1 0.6667 0.3333 0.3417 1
W1 0.3333 0.6667 0.6811 1
```

---

Question: Number 2 is which compound?
Answer: AgHgW

---

Question: Number 1 is which compound?
Answer: RbNaCa2Rh

---

Question: Which of these has the lowest DFT formation energy?
Answer: RbNaCa2Rh